Entry from the Alexandria database: crystalline ScZnIn2 at its relaxed geometry (GGA-PBE).

Summary:
The symmetry is Pm, No. 6. For the density of states at the Fermi level, the calculation gives 3.1 states/eV per cell. The formation energy from the elements comes out at -0.177 eV/atom. The total energy is -3.447 eV/atom.

Unit cell a=3.193 b=4.686 c=5.905 alpha=90.00 beta=90.02 gamma=90.00
Fractional coordinates of all 4 atoms:
1 Sc 0.000 0.000 0.000
2 Zn 0.503 0.500 0.225
3 In 0.497 0.000 0.470
4 In 0.501 0.500 0.769



Entry from the Alexandria database: crystalline ScZn2In at its relaxed geometry (GGA-PBE).

Summary:
The symmetry is Imm2, No. 44. For the density of states at the Fermi level, the calculation gives 3.3 states/eV per cell. The formation energy from the elements comes out at -0.160 eV/atom. The total energy is -3.065 eV/atom.

Unit cell a=5.510 b=5.510 c=5.510 alpha=139.87 beta=132.96 gamma=63.51
Fractional coordinates of all 4 atoms:
1 Sc 0.000 0.000 0.000
2 Zn 0.255 0.755 0.500
3 Zn 0.469 0.469 0.000
4 In 0.734 0.234 0.500



Entry from the Alexandria database: crystalline ScZnIn2 at its relaxed geometry (GGA-PBE).

Summary:
The symmetry is Cmmm, No. 65. For the density of states at the Fermi level, the calculation gives 1.7 states/eV per cell. The formation energy from the elements comes out at -0.215 eV/atom. The total energy is -3.485 eV/atom.

Unit cell a=5.052 b=5.052 c=3.492 alpha=90.00 beta=90.00 gamma=103.60
Fractional coordinates of all 4 atoms:
1 Sc 0.000 0.000 0.000
2 Zn 0.500 0.500 0.000
3 In 0.000 0.500 0.500
4 In 0.500 0.000 0.500



Entry from the Alexandria database: crystalline Sc2ZnIn2 at its relaxed geometry (GGA-PBE).

Summary:
The symmetry is P4/mbm, No. 127. For the density of states at the Fermi level, the calculation gives 3.8 states/eV per cell. The formation energy from the elements comes out at -0.275 eV/atom. The total energy is -4.157 eV/atom. As for the energy relative to the lowest polymorph listed for this composition: 95 meV per atom.

Unit cell a=7.016 b=7.016 c=4.535 alpha=90.00 beta=90.00 gamma=90.00
Fractional coordinates of all 10 atoms:
1 Sc 0.164 0.336 0.000
2 Sc 0.336 0.836 0.000
3 Sc 0.664 0.164 0.000
4 Sc 0.836 0.664 0.000
5 Zn 0.000 0.000 0.500
6 Zn 0.500 0.500 0.500
7 In 0.144 0.644 0.500
8 In 0.356 0.144 0.500
9 In 0.644 0.856 0.500
10 In 0.856 0.356 0.500



Entry from the Alexandria database: crystalline ScZnIn3 at its relaxed geometry (GGA-PBE).

Summary:
The symmetry is Pm-3m, No. 221. For the density of states at the Fermi level, the calculation gives 3.0 states/eV per cell. The formation energy from the elements comes out at 0.310 eV/atom. The total energy is -2.854 eV/atom. As for the energy relative to the lowest polymorph listed for this composition: 0 meV per atom.

Unit cell a=5.131 b=5.131 c=5.131 alpha=90.00 beta=90.00 gamma=90.00
Fractional coordinates of all 5 atoms:
1 Sc 0.000 0.000 0.000
2 Zn 0.500 0.500 0.500
3 In 0.000 0.500 0.500
4 In 0.500 0.000 0.500
5 In 0.500 0.500 0.000



Entry from the Alexandria database: crystalline ScZn2In at its relaxed geometry (GGA-PBE).

Summary:
The symmetry is F-43m, No. 216. For the density of states at the Fermi level, the calculation gives 1.2 states/eV per cell. The formation energy from the elements comes out at -0.141 eV/atom. The total energy is -3.046 eV/atom.

Unit cell a=4.757 b=4.757 c=4.757 alpha=60.00 beta=60.00 gamma=60.00
Fractional coordinates of all 4 atoms:
1 Sc 0.000 0.000 0.000
2 Zn 0.500 0.500 0.500
3 Zn 0.750 0.750 0.750
4 In 0.250 0.250 0.250



Entry from the Alexandria database: crystalline Sc12ZnIn3 at its relaxed geometry (GGA-PBE).

Summary:
The symmetry is P4/mmm, No. 123. For the density of states at the Fermi level, the calculation gives 21.0 states/eV per cell. The formation energy from the elements comes out at -0.243 eV/atom. The total energy is -5.585 eV/atom.

Unit cell a=4.498 b=4.498 c=17.927 alpha=90.00 beta=90.00 gamma=90.00
Fractional coordinates of all 16 atoms:
1 Sc 0.000 0.000 0.000
2 Sc 0.000 0.000 0.246
3 Sc 0.000 0.000 0.500
4 Sc 0.000 0.000 0.754
5 Sc 0.000 0.500 0.119
6 Sc 0.000 0.500 0.373
7 Sc 0.000 0.500 0.627
8 Sc 0.000 0.500 0.881
9 Sc 0.500 0.000 0.119
10 Sc 0.500 0.000 0.373
11 Sc 0.500 0.000 0.627
12 Sc 0.500 0.000 0.881
13 Zn 0.500 0.500 0.000
14 In 0.500 0.500 0.246
15 In 0.500 0.500 0.500
16 In 0.500 0.500 0.754



Entry from the Alexandria database: crystalline Sc4ZnIn2 at its relaxed geometry (GGA-PBE).

Summary:
The symmetry is I4/mmm, No. 139. For the density of states at the Fermi level, the calculation gives 8.4 states/eV per cell. The formation energy from the elements comes out at 0.020 eV/atom. The total energy is -4.563 eV/atom. As for the energy relative to the lowest polymorph listed for this composition: 265 meV per atom.

Unit cell a=8.092 b=8.092 c=8.092 alpha=144.05 beta=144.05 gamma=51.75
Fractional coordinates of all 7 atoms:
1 Sc 0.000 0.500 0.500
2 Sc 0.180 0.180 0.000
3 Sc 0.500 0.000 0.500
4 Sc 0.820 0.820 0.000
5 Zn 0.000 0.000 0.000
6 In 0.379 0.379 0.000
7 In 0.621 0.621 0.000



Entry from the Alexandria database: crystalline Sc2ZnIn at its relaxed geometry (GGA-PBE).

Summary:
The symmetry is R-3m, No. 166. For the density of states at the Fermi level, the calculation gives 3.3 states/eV per cell. The formation energy from the elements comes out at 0.039 eV/atom. The total energy is -4.129 eV/atom.

Unit cell a=10.576 b=10.576 c=10.576 alpha=17.75 beta=17.75 gamma=17.75
Fractional coordinates of all 4 atoms:
1 Sc 0.098 0.098 0.098
2 Sc 0.902 0.902 0.902
3 Zn 0.500 0.500 0.500
4 In 0.000 0.000 0.000



Entry from the Alexandria database: crystalline Sc2ZnIn2 at its relaxed geometry (GGA-PBE).

Summary:
The symmetry is P4/mbm, No. 127. For the density of states at the Fermi level, the calculation gives 4.6 states/eV per cell. The formation energy from the elements comes out at -0.156 eV/atom. The total energy is -4.039 eV/atom. As for the energy relative to the lowest polymorph listed for this composition: 214 meV per atom.

Unit cell a=7.377 b=7.377 c=4.314 alpha=90.00 beta=90.00 gamma=90.00
Fractional coordinates of all 10 atoms:
1 Sc 0.152 0.348 0.000
2 Sc 0.348 0.848 0.000
3 Sc 0.652 0.152 0.000
4 Sc 0.848 0.652 0.000
5 Zn 0.000 0.000 0.000
6 Zn 0.500 0.500 0.000
7 In 0.153 0.653 0.500
8 In 0.347 0.153 0.500
9 In 0.653 0.847 0.500
10 In 0.847 0.347 0.500



Entry from the Alexandria database: crystalline ScZn2In at its relaxed geometry (GGA-PBE).

Summary:
The symmetry is P4mm, No. 99. For the density of states at the Fermi level, the calculation gives 2.0 states/eV per cell. The formation energy from the elements comes out at -0.164 eV/atom. The total energy is -3.068 eV/atom.

Unit cell a=3.242 b=3.242 c=7.266 alpha=90.00 beta=90.00 gamma=90.00
Fractional coordinates of all 4 atoms:
1 Sc 0.000 0.000 0.000
2 Zn 0.000 0.000 0.434
3 Zn 0.500 0.500 0.249
4 In 0.500 0.500 0.700



Entry from the Alexandria database: crystalline Sc3Zn2In4 at its relaxed geometry (GGA-PBE).

Summary:
The symmetry is C2/m, No. 12. For the density of states at the Fermi level, the calculation gives 5.8 states/eV per cell. The formation energy from the elements comes out at -0.328 eV/atom. The total energy is -3.939 eV/atom.

Unit cell a=5.757 b=5.757 c=8.807 alpha=116.34 beta=116.34 gamma=48.15
Fractional coordinates of all 9 atoms:
1 Sc 0.000 0.000 0.000
2 Sc 0.335 0.335 0.335
3 Sc 0.665 0.665 0.665
4 Zn 0.392 0.392 0.719
5 Zn 0.608 0.608 0.281
6 In 0.063 0.063 0.388
7 In 0.287 0.287 0.939
8 In 0.713 0.713 0.061
9 In 0.937 0.937 0.612



Entry from the Alexandria database: crystalline ScZnIn3 at its relaxed geometry (GGA-PBE).

Summary:
The symmetry is Pm-3m, No. 221. For the density of states at the Fermi level, the calculation gives 4.3 states/eV per cell. The formation energy from the elements comes out at 0.599 eV/atom. The total energy is -2.565 eV/atom. As for the energy relative to the lowest polymorph listed for this composition: 289 meV per atom.

Unit cell a=5.680 b=5.680 c=5.680 alpha=90.00 beta=90.00 gamma=90.00
Fractional coordinates of all 5 atoms:
1 Sc 0.000 0.000 0.000
2 Zn 0.500 0.500 0.500
3 In 0.000 0.000 0.500
4 In 0.000 0.500 0.000
5 In 0.500 0.000 0.000